[1]
Density functional theory data (PBE) for GeC3Se after structural relaxation.

abc: 3.9403 3.9403 3.9403
angles: 90.00 90.00 90.00
Fractional coordinates of all 5 atoms:
Ge 0.0000 0.0000 0.0000
C 0.0000 0.5000 0.5000
C 0.5000 0.0000 0.5000
C 0.5000 0.5000 0.0000
Se 0.5000 0.5000 0.5000

## Properties
**Formation energy from raw total energies**: 14.17 eV/f.u.
**DFT total energy**: -21.599 eV for the cell shown

[2]
Density functional theory data (PBE) for GeCSe2 after structural relaxation.

abc: 3.8276 3.8276 22.1844
angles: 90.00 90.00 120.00
Fractional coordinates of all 12 atoms:
Ge 0.0000 0.0000 0.0000
Ge 0.3333 0.6667 0.6667
Ge 0.6667 0.3333 0.3333
C 0.0000 0.0000 0.5000
C 0.3333 0.6667 0.1667
C 0.6667 0.3333 0.8333
Se 0.0000 0.0000 0.4208
Se 0.0000 0.0000 0.5792
Se 0.3333 0.6667 0.0875
Se 0.3333 0.6667 0.2459
Se 0.6667 0.3333 0.7541
Se 0.6667 0.3333 0.9125

## Properties
**Formation energy from raw total energies**: 3.69 eV/f.u.
**DFT total energy**: -51.366 eV for the cell shown

[3]
Density functional theory data (PBE) for Sm6GeC2Se3 after structural relaxation.

abc: 9.1402 9.1402 8.2973
angles: 104.68 104.68 25.01
Fractional coordinates of all 12 atoms:
Sm 0.0164 0.0164 0.2577
Sm 0.3218 0.3218 0.4401
Sm 0.3307 0.3307 0.8797
Sm 0.6693 0.6693 0.1203
Sm 0.6782 0.6782 0.5599
Sm 0.9836 0.9836 0.7423
Ge 0.5000 0.5000 0.0000
C 0.1718 0.1718 0.3410
C 0.8282 0.8282 0.6590
Se 0.1629 0.1629 0.8308
Se 0.5000 0.5000 0.5000
Se 0.8371 0.8371 0.1692

## Properties
**Formation energy from raw total energies**: -13.66 eV/f.u.
**DFT total energy**: -75.499 eV for the cell shown

[4]
Density functional theory data (PBE) for Sr2GeCSe after structural relaxation.

abc: 5.9488 5.9488 4.9603
angles: 90.00 90.00 90.00
Fractional coordinates of all 5 atoms:
Sr 0.0000 0.5000 0.0000
Sr 0.5000 0.0000 0.0000
Ge 0.0000 0.0000 0.0000
C 0.5000 0.5000 0.5000
Se 0.0000 0.0000 0.5000

## Properties
**Formation energy from raw total energies**: 4.21 eV/f.u.
**DFT total energy**: -16.484 eV for the cell shown